1.
Entry from Alexandria via LeMat-Bulk: a relaxed PrNdBeZn crystal (PBE-GGA).

The structure belongs to space group F-43m (No. 216); the cell edges are 7.2436, 7.2436 and 7.2436 Å and the angles 90.00°, 90.00° and 90.00°. The asymmetric unit holds Pr at (0.0000, 0.0000, 0.0000), Nd at (0.0000, 0.0000, 0.5000), Be at (0.2500, 0.2500, 0.2500) and Zn at (0.2500, 0.2500, 0.7500).

The electronic total energy is -3.67 eV/atom.


2.
Entry from Alexandria via LeMat-Bulk: a relaxed NdBePt3 crystal (PBE-GGA).

The structure belongs to space group Pm-3m (No. 221); the cell edges are 4.4339, 4.4339 and 4.4339 Å and the angles 90.00°, 90.00° and 90.00°. The asymmetric unit holds Nd at (0.0000, 0.0000, 0.0000), Be at (0.5000, 0.5000, 0.5000) and Pt at (0.0000, 0.5000, 0.5000).

The electronic total energy is -6.11 eV/atom. The energy above the lowest structure with this stoichiometry comes out at 12.18 kJ per mole of atoms.


For each record above, in turn, the calculated calculated volume values are 23.754; 17.434 Å³/atom.